# NdCd3Hg3 PBE relaxed
# density of states at the Fermi level: 5.280 states/eV/cell
# energy of formation: -0.147 eV per atom
# theoretical density: 9.69 Mg/m³
# offset from the most stable computed form: 0 meV per atom
data_NdCd3Hg3
_chemical_formula_sum 'Nd2 Cd6 Hg6'
_cell_length_a 5.483
_cell_length_b 8.840
_cell_length_c 8.840
_cell_angle_alpha 120.00
_cell_angle_beta 90.00
_cell_angle_gamma 90.00
_space_group_name_H-M_alt 'P 1'
_space_group_IT_number 1
loop_
_space_group_symop_operation_xyz
'x,y,z'
loop_
_atom_site_label
_atom_site_type_symbol
_atom_site_fract_x
_atom_site_fract_y
_atom_site_fract_z
_atom_site_occupancy
Cd1 Cd 0.750 0.546 0.093 1
Cd2 Cd 0.750 0.907 0.453 1
Hg1 Hg 0.250 0.880 0.124 1
Hg2 Hg 0.250 0.876 0.756 1
Nd1 Nd 0.250 0.667 0.333 1
Hg3 Hg 0.750 0.756 0.880 1
Cd3 Cd 0.750 0.547 0.454 1
Cd4 Cd 0.250 0.453 0.546 1
Cd5 Cd 0.250 0.454 0.907 1
Cd6 Cd 0.250 0.093 0.547 1
Hg4 Hg 0.750 0.120 0.876 1
Nd2 Nd 0.750 0.333 0.667 1
Hg5 Hg 0.750 0.124 0.244 1
Hg6 Hg 0.250 0.244 0.120 1